[1]
First-principles (PBE-GGA) data for an optimized crystal structure of SrAs2Pt, as listed in the Alexandria database.

Output
Formation energy   -0.75 eV/atom
Crystal system   trigonal
V   22.4 Å³ per atom

The structure in POSCAR format:
```
SrAs2Pt
1.0
2.0559 1.1870 6.1273
-2.0559 1.1870 6.1273
0.0000 -2.3739 6.1273
Sr As Pt
1 2 1
Direct
0.0000 0.0000 0.0000
0.2241 0.2241 0.2241
0.7759 0.7759 0.7759
0.5000 0.5000 0.5000
```

[2]
First-principles (PBE-GGA) data for an optimized crystal structure of Tc2PW, as listed in the Alexandria database.

Output
Formation energy   0.13 eV/atom
Crystal system   orthorhombic
V   14.6 Å³ per atom

The structure in POSCAR format:
```
Tc2PW
1.0
1.5127 -2.3562 0.0000
1.5127 2.3562 0.0000
0.0000 0.0000 8.1777
Tc P W
2 1 1
Direct
0.0000 0.0000 0.2224
0.0000 0.0000 0.7776
0.5000 0.5000 0.0000
0.5000 0.5000 0.5000
```

[3]
First-principles (PBE-GGA) data for an optimized crystal structure of TbPr6Dy12, as listed in the Alexandria database.

Output
Excess energy over the best structure of this formula in the dataset   254 meV/atom
Formation energy   0.47 eV/atom
Crystal system   trigonal
V   35.3 Å³ per atom

The structure in POSCAR format:
```
TbPr6Dy12
1.0
6.8310 3.9439 4.1460
-6.8310 3.9439 4.1460
0.0000 -7.8878 4.1460
Tb Pr Dy
1 6 12
Direct
0.0000 0.0000 0.0000
0.2201 0.2201 0.7389
0.2201 0.7389 0.2201
0.2611 0.7799 0.7799
0.7389 0.2201 0.2201
0.7799 0.2611 0.7799
0.7799 0.7799 0.2611
0.1151 0.5000 0.8849
0.1151 0.8849 0.5000
0.1669 0.4504 0.4504
0.4504 0.1669 0.4504
0.4504 0.4504 0.1669
0.5000 0.1151 0.8849
0.5000 0.8849 0.1151
0.5496 0.5496 0.8331
0.5496 0.8331 0.5496
0.8331 0.5496 0.5496
0.8849 0.1151 0.5000
0.8849 0.5000 0.1151
```

[4]
First-principles (PBE-GGA) data for an optimized crystal structure of BaCa3Pt, as listed in the Alexandria database.

Output
Excess energy over the best structure of this formula in the dataset   156 meV/atom
Formation energy   -0.31 eV/atom
Crystal system   orthorhombic
V   37.0 Å³ per atom

The structure in POSCAR format:
```
BaCa3Pt
1.0
6.9667 0.0000 0.0000
0.0000 13.5374 0.0000
0.0000 0.0000 7.8529
Ba Ca Pt
4 12 4
Direct
0.0000 0.0000 0.0000
0.0000 0.5000 0.0000
0.5000 0.0000 0.5000
0.5000 0.5000 0.5000
0.0347 0.1303 0.3808
0.0347 0.3697 0.3808
0.1976 0.2500 0.7850
0.3024 0.7500 0.2850
0.4653 0.6303 0.8808
0.4653 0.8697 0.8808
0.5347 0.1303 0.1192
0.5347 0.3697 0.1192
0.6976 0.2500 0.7150
0.8024 0.7500 0.2150
0.9653 0.6303 0.6192
0.9653 0.8697 0.6192
0.1162 0.7500 0.9381
0.3838 0.2500 0.4381
0.6162 0.7500 0.5619
0.8838 0.2500 0.0619
```